CaInPb2 | GGA-PBEsol | optimized geometry

a = 3.862 Å, b = 4.235 Å, c = 6.854 Å
α = 90.00°, β = 90.00°, γ = 90.00°
Fractional coordinates of all 4 atoms:
Ca (0.000, 0.000, 0.000)
In (0.000, 0.000, 0.500)
Pb (0.500, 0.500, 0.266)
Pb (0.500, 0.500, 0.734)

Values from the calculation:
* E_tot: -3.54 eV/atom